CaTb2Ho | PBE | optimized geometry

Geometry as POSCAR:
```
CaTb2Ho
1.0
3.5912 0.0000 0.0000
1.7956 3.1101 0.0000
1.7956 1.0367 12.0221
Tb Ca Ho
2 1 1
Direct
0.2551 0.2551 0.2346
0.0781 0.0781 0.7658
0.5004 0.5004 0.4987
0.6664 0.6664 0.0009
```

Summary:
- calculated formation energy (eV/atom) = 0.06
- energy above the lowest structure with this stoichiometry (eV per atom) = 0.000
- space group = R3m

Ni2Rh2I | PBE | optimized geometry

Geometry as POSCAR:
```
Ni2Rh2I
1.0
-2.1790 -1.4560 2.3333
-2.1752 -0.9093 -2.5988
0.9571 -6.8817 -0.7621
I Ni Rh
1 2 2
Direct
0.0000 0.0000 0.0000
0.2500 0.7500 0.5000
0.7500 0.2500 0.5000
0.6109 0.6109 0.7781
0.3891 0.3891 0.2219
```

Summary:
- uncorrected formation energy (eV/f.u.) = 2.4
- energy above the lowest structure with this stoichiometry (eV per atom) = 0.000
- space group = I4/mmm

PmDyAu4 | PBE | optimized geometry

Geometry as POSCAR:
```
PmDyAu4
1.0
-3.3606 0.4511 1.7019
1.3720 -1.6274 3.1405
2.6649 8.2047 3.0874
Pm Au Dy
1 4 1
Direct
0.0000 0.0000 0.0000
0.0000 0.0000 0.6611
0.0000 0.0000 0.3389
0.5000 0.5000 0.8299
0.5000 0.5000 0.1701
0.5000 0.5000 0.5000
```

Summary:
- calculated formation energy (eV/atom) = -0.83
- space group = P4/mmm

The records above give, respectively, DOS(E_F) values of 5.37; 9.83; 1.56 states/eV/f.u..